Entry 1
Entry from the Alexandria database: a relaxed structure of Cd2GeAu2 (PBE-GGA).

Cell and atoms, written as POSCAR:
```
Cd2GeAu2
1.0
-4.8610 4.4939 5.0838
4.2804 -2.8215 6.5868
1.8800 2.3008 -0.2362
Ge Au Cd
2 4 4
Direct
0.0000 0.0000 0.0000
0.5000 0.5000 0.0000
0.1671 0.6671 0.5000
0.6671 0.8329 0.5000
0.8329 0.3329 0.5000
0.3329 0.1671 0.5000
0.3687 0.8687 0.0000
0.8687 0.6313 0.0000
0.6313 0.1313 0.0000
0.1313 0.3687 0.0000
```

Calculated values
N(E_F): 1.78 states/eV/f.u.

***

Entry 2
Entry from the Alexandria database: a relaxed structure of Cd2GeAu2 (PBE-GGA).

Cell and atoms, written as POSCAR:
```
Cd2GeAu2
1.0
-3.9072 1.2741 -6.1426
-1.8468 -7.1495 -0.3083
-3.0870 0.7064 2.1101
Ge Au Cd
2 4 4
Direct
0.0000 0.0000 0.0000
0.5000 0.5000 0.0000
0.3569 0.8569 0.0000
0.8569 0.6431 0.0000
0.6431 0.1431 0.0000
0.1431 0.3569 0.0000
0.1576 0.6576 0.5000
0.6576 0.8424 0.5000
0.8424 0.3424 0.5000
0.3424 0.1576 0.5000
```

Calculated values
N(E_F): 2.01 states/eV/f.u.

***

Short version: entry 1 is the least stable of them.

***

Entry 1
Entry from the Alexandria database: a relaxed structure of Cd3GeAu (PBE-GGA).

Cell and atoms, written as POSCAR:
```
Cd3GeAu
1.0
5.1820 0.0000 0.0000
0.0000 5.1820 0.0000
0.0000 0.0000 5.1820
Ge Au Cd
1 1 3
Direct
0.0000 0.0000 0.0000
0.5000 0.5000 0.5000
0.0000 0.5000 0.0000
0.0000 0.0000 0.5000
0.5000 0.0000 0.0000
```

Calculated values
N(E_F): 2.11 states/eV/f.u.

***

Entry 2
Entry from the Alexandria database: a relaxed structure of Cd3GeAu (PBE-GGA).

Cell and atoms, written as POSCAR:
```
Cd3GeAu
1.0
5.2245 0.0000 0.0000
0.0000 5.2245 0.0000
0.0000 0.0000 5.2245
Ge Au Cd
1 1 3
Direct
0.5000 0.5000 0.5000
0.0000 0.0000 0.0000
0.0000 0.5000 0.0000
0.0000 0.0000 0.5000
0.5000 0.0000 0.0000
```

Calculated values
N(E_F): 2.79 states/eV/f.u.

***

Short version: entry 1 is the least stable of them.

***

Entry 1
Entry from the Alexandria database: a relaxed structure of CdGeAu6 (PBE-GGA).

Cell and atoms, written as POSCAR:
```
CdGeAu6
1.0
-2.1098 3.1213 1.8213
-1.3353 -2.6330 2.9657
6.7889 1.8478 4.6973
Cd Ge Au
1 1 6
Direct
0.0000 0.0000 0.5000
0.0000 0.0000 0.0000
0.5000 0.5000 0.0000
0.5000 0.5000 0.5000
0.5000 0.0000 0.2479
0.5000 0.0000 0.7521
0.0000 0.5000 0.2479
0.0000 0.5000 0.7521
```

Calculated values
N(E_F): 4.80 states/eV/f.u.

***

Entry 2
Entry from the Alexandria database: a relaxed structure of CdGeAu6 (PBE-GGA).

Cell and atoms, written as POSCAR:
```
CdGeAu6
1.0
-2.1568 3.9281 -2.4671
-2.3568 -4.0837 -1.9845
-1.9835 0.4264 6.2545
Cd Ge Au
1 1 6
Direct
0.0000 0.0000 0.0000
0.5000 0.5000 0.0000
0.6215 0.1348 0.2499
0.8651 0.3785 0.7501
0.2403 0.2403 0.5010
0.1349 0.6215 0.2499
0.3785 0.8652 0.7501
0.7597 0.7597 0.4990
```

Calculated values
N(E_F): 2.48 states/eV/f.u.

***

Short version: entry 1 is the least stable of them.